(1)
4
Lattice="-4.3402 -0.2923 -0.6635 1.7130 -1.1412 3.8893 -0.6441 5.3543 1.8548" Properties=species:S:1:pos:R:3 comment="AgTe | Alexandria | PBEsol | optimized geometry" crystal_system=hexagonal raw_formation_energy_ev_per_atom=0.00 pbc="T T T"
Te -0.7878 3.1575 3.7628
Te -2.4835 0.7633 1.3178
Ag 0.0000 0.0000 0.0000
Ag -0.3221 2.6772 0.9274

***

(2)
6
Lattice="-2.6130 1.4973 -1.1684 -3.9250 -3.0307 4.8943 4.2789 5.2486 1.6219" Properties=species:S:1:pos:R:3 comment="Ag2Te | Alexandria | PBEsol | optimized geometry" crystal_system=monoclinic raw_formation_energy_ev_per_atom=0.03 pbc="T T T"
Te -2.5894 2.1053 4.0235
Te 0.3303 1.6099 1.3243
Ag 1.6812 4.3767 1.8488
Ag -1.3121 -0.2297 2.6402
Ag -0.9470 3.9448 2.7076
Ag -3.9403 -0.6616 3.4991

***

(3)
4
Lattice="5.2123 0.0000 0.0000 -1.7374 4.9142 0.0000 -1.7374 -2.4571 4.2558" Properties=species:S:1:pos:R:3 comment="AgTe3 | Alexandria | PBEsol | optimized geometry" crystal_system=cubic raw_formation_energy_ev_per_atom=-0.01 pbc="T T T"
Te 1.7374 2.4571 0.0000
Te -1.7374 1.2286 2.1279
Te 1.7374 -1.2286 2.1279
Ag 0.0000 0.0000 0.0000

***

(4)
3
Lattice="-2.7441 1.3580 -2.6798 2.2200 -1.5732 -3.0706 -2.0610 -3.5330 0.3201" Properties=species:S:1:pos:R:3 comment="Ag2Te | Alexandria | PBEsol | optimized geometry" crystal_system=tetragonal raw_formation_energy_ev_per_atom=0.09 pbc="T T T"
Te 0.0000 0.0000 0.0000
Ag -2.4026 -1.0875 -1.1798
Ag -0.2621 -0.1076 -2.8752